w) DFT (PBE) results for a relaxed Pm3Sb2As crystal.

```
data_Pm3Sb2As
_cell_length_a 4.390
_cell_length_b 6.246
_cell_length_c 13.271
_cell_angle_alpha 90.00
_cell_angle_beta 90.00
_cell_angle_gamma 90.00
_symmetry_space_group_name_H-M 'I m m m'
_symmetry_Int_Tables_number 71
_symmetry_space_group_name_Hall '-I 2 2'
loop_
_atom_site_label
_atom_site_type_symbol
_atom_site_fract_x
_atom_site_fract_y
_atom_site_fract_z
Pm1 Pm 0.000 0.000 0.000
Pm2 Pm 0.000 0.000 0.344
Sb1 Sb 0.000 0.500 0.330
As1 As 0.000 0.500 0.000
```

Calculated values
DOS(E_F) = 2.373 states/eV per cell

=====

x) DFT (PBE) results for a relaxed Pm3Sb2As crystal.

```
data_Pm3Sb2As
_cell_length_a 8.832
_cell_length_b 12.477
_cell_length_c 26.400
_cell_angle_alpha 90.00
_cell_angle_beta 90.00
_cell_angle_gamma 90.00
_symmetry_space_group_name_H-M 'F d d d'
_symmetry_Int_Tables_number 70
loop_
_symmetry_equiv_pos_as_xyz
'x,y,z'
'-x,-y,-z'
'-x+1/4,-y+1/4,z'
'x+1/4,y+1/4,-z'
'x,-y+1/4,-z+1/4'
'-x,y+1/4,z+1/4'
'-x+1/4,y,-z+1/4'
'x+1/4,-y,z+1/4'
'x,y+1/2,z+1/2'
'-x,-y+1/2,-z+1/2'
'-x+1/4,-y+3/4,z+1/2'
'x+1/4,y+3/4,-z+1/2'
'x,-y+3/4,-z+3/4'
'-x,y+3/4,z+3/4'
'-x+1/4,y+1/2,-z+3/4'
'x+1/4,-y+1/2,z+3/4'
'x+1/2,y,z+1/2'
'-x+1/2,-y,-z+1/2'
'-x+3/4,-y+1/4,z+1/2'
'x+3/4,y+1/4,-z+1/2'
'x+1/2,-y+1/4,-z+3/4'
'-x+1/2,y+1/4,z+3/4'
'-x+3/4,y,-z+3/4'
'x+3/4,-y,z+3/4'
'x+1/2,y+1/2,z'
'-x+1/2,-y+1/2,-z'
'-x+3/4,-y+3/4,z'
'x+3/4,y+3/4,-z'
'x+1/2,-y+3/4,-z+1/4'
'-x+1/2,y+3/4,z+1/4'
'-x+3/4,y+1/2,-z+1/4'
'x+3/4,-y+1/2,z+1/4'
loop_
_atom_site_label
_atom_site_type_symbol
_atom_site_fract_x
_atom_site_fract_y
_atom_site_fract_z
Pm1 Pm 0.111 0.375 0.375
Pm2 Pm 0.119 0.369 0.211
Sb1 Sb 0.125 0.125 0.376
Sb2 Sb 0.125 0.125 0.543
As1 As 0.125 0.125 0.042
```

Calculated values
DOS(E_F) = 9.142 states/eV per cell

=====

Most stable structure - x); separation to the second - 6 meV per atom.

=====

w) DFT (PBE) results for a relaxed PmSbAs2 crystal.

```
data_PmSbAs2
_cell_length_a 4.898
_cell_length_b 4.898
_cell_length_c 3.929
_cell_angle_alpha 90.00
_cell_angle_beta 90.00
_cell_angle_gamma 90.00
_symmetry_space_group_name_H-M 'P 4/m m m'
_symmetry_Int_Tables_number 123
_symmetry_space_group_name_Hall '-P 4 2'
loop_
_atom_site_label
_atom_site_type_symbol
_atom_site_fract_x
_atom_site_fract_y
_atom_site_fract_z
Pm1 Pm 0.000 0.000 0.000
Sb1 Sb 0.500 0.500 0.000
As1 As 0.000 0.500 0.500
```

Calculated values
DOS(E_F) = 1.839 states/eV per cell

=====

x) DFT (PBE) results for a relaxed PmSbAs2 crystal.

```
data_PmSbAs2
_cell_length_a 7.280
_cell_length_b 7.280
_cell_length_c 7.280
_cell_angle_alpha 90.00
_cell_angle_beta 90.00
_cell_angle_gamma 90.00
_symmetry_space_group_name_H-M 'F m -3 m'
_symmetry_Int_Tables_number 225
_symmetry_space_group_name_Hall '-F 4 2 3'
loop_
_atom_site_label
_atom_site_type_symbol
_atom_site_fract_x
_atom_site_fract_y
_atom_site_fract_z
Pm1 Pm 0.000 0.000 0.000
Sb1 Sb 0.000 0.000 0.500
As1 As 0.250 0.250 0.250
```

Calculated values
DOS(E_F) = 5.593 states/eV per cell

=====

Most stable structure - w); separation to the second - 182 meV per atom.

=====

w) DFT (PBE) results for a relaxed Pm3ScAs4 crystal.

```
data_Pm3ScAs4
_cell_length_a 8.306
_cell_length_b 11.752
_cell_length_c 4.164
_cell_angle_alpha 90.00
_cell_angle_beta 90.00
_cell_angle_gamma 90.00
_symmetry_space_group_name_H-M 'C m m m'
_symmetry_Int_Tables_number 65
_symmetry_space_group_name_Hall '-C 2 2'
loop_
_atom_site_label
_atom_site_type_symbol
_atom_site_fract_x
_atom_site_fract_y
_atom_site_fract_z
Pm1 Pm 0.000 0.000 0.000
Pm2 Pm 0.250 0.250 0.500
Sc1 Sc 0.000 0.500 0.000
As1 As 0.000 0.257 0.000
As2 As 0.236 0.500 0.500
```

Calculated values
DOS(E_F) = 1.274 states/eV per cell

=====

x) DFT (PBE) results for a relaxed Pm3ScAs4 crystal.

```
data_Pm3ScAs4
_cell_length_a 5.890
_cell_length_b 5.890
_cell_length_c 5.890
_cell_angle_alpha 90.00
_cell_angle_beta 90.00
_cell_angle_gamma 90.00
_symmetry_space_group_name_H-M 'P m -3 m'
_symmetry_Int_Tables_number 221
_symmetry_space_group_name_Hall '-P 4 2 3'
loop_
_atom_site_label
_atom_site_type_symbol
_atom_site_fract_x
_atom_site_fract_y
_atom_site_fract_z
Pm1 Pm 0.000 0.000 0.500
Sc1 Sc 0.500 0.500 0.500
As1 As 0.000 0.000 0.000
As2 As 0.000 0.500 0.500
```

Calculated values
DOS(E_F) = 0.681 states/eV per cell

=====

Most stable structure - w); separation to the second - 22 meV per atom.

=====

w) DFT (PBE) results for a relaxed PmAsSe3 crystal.

```
data_PmAsSe3
_cell_length_a 7.145
_cell_length_b 7.627
_cell_length_c 11.524
_cell_angle_alpha 90.00
_cell_angle_beta 120.05
_cell_angle_gamma 90.00
_symmetry_space_group_name_H-M 'P 1 21/c 1'
_symmetry_Int_Tables_number 14
loop_
_symmetry_equiv_pos_as_xyz
'x,y,z'
'-x,-y,-z'
'-x,y+1/2,-z+1/2'
'x,-y+1/2,z+1/2'
loop_
_atom_site_label
_atom_site_type_symbol
_atom_site_fract_x
_atom_site_fract_y
_atom_site_fract_z
Pm1 Pm 0.190 0.134 0.234
As1 As 0.160 0.593 0.079
Se1 Se 0.096 0.173 0.936
Se2 Se 0.253 0.684 0.913
Se3 Se 0.468 0.050 0.790
```

Calculated values
DOS(E_F) = 6.034 states/eV per cell

=====

x) DFT (PBE) results for a relaxed PmAsSe3 crystal.

```
data_PmAsSe3
_cell_length_a 7.181
_cell_length_b 3.870
_cell_length_c 20.100
_cell_angle_alpha 90.00
_cell_angle_beta 90.00
_cell_angle_gamma 90.00
_symmetry_space_group_name_H-M 'P n m a'
_symmetry_Int_Tables_number 62
loop_
_symmetry_equiv_pos_as_xyz
'x,y,z'
'-x,-y,-z'
'-x+1/2,-y,z+1/2'
'x+1/2,y,-z+1/2'
'x+1/2,-y+1/2,-z+1/2'
'-x+1/2,y+1/2,z+1/2'
'-x,y+1/2,-z'
'x,-y+1/2,z'
loop_
_atom_site_label
_atom_site_type_symbol
_atom_site_fract_x
_atom_site_fract_y
_atom_site_fract_z
Pm1 Pm 0.236 0.250 0.190
As1 As 0.216 0.750 0.503
Se1 Se 0.015 0.750 0.266
Se2 Se 0.060 0.250 0.425
Se3 Se 0.115 0.750 0.082
```

Calculated values
DOS(E_F) = 0.053 states/eV per cell

=====

Most stable structure - x); separation to the second - 92 meV per atom.

=====

w) DFT (PBE) results for a relaxed PmThAsSe crystal.

```
data_PmThAsSe
_cell_length_a 7.286
_cell_length_b 7.286
_cell_length_c 7.286
_cell_angle_alpha 90.00
_cell_angle_beta 90.00
_cell_angle_gamma 90.00
_symmetry_space_group_name_H-M 'F -4 3 m'
_symmetry_Int_Tables_number 216
_symmetry_space_group_name_Hall 'F -4 2 3'
loop_
_atom_site_label
_atom_site_type_symbol
_atom_site_fract_x
_atom_site_fract_y
_atom_site_fract_z
Pm1 Pm 0.000 0.000 0.000
Th1 Th 0.000 0.000 0.500
As1 As 0.250 0.250 0.250
Se1 Se 0.250 0.250 0.750
```

Calculated values
DOS(E_F) = 12.197 states/eV per cell

=====

x) DFT (PBE) results for a relaxed PmThAsSe crystal.

```
data_PmThAsSe
_cell_length_a 5.0069
_cell_length_b 5.0069
_cell_length_c 32.5636
_cell_angle_alpha 90.00
_cell_angle_beta 90.00
_cell_angle_gamma 120.00
_symmetry_space_group_name_H-M 'R -3 m'
_symmetry_Int_Tables_number 166
_symmetry_space_group_name_Hall '-R 3 2"'
loop_
_atom_site_label
_atom_site_type_symbol
_atom_site_fract_x
_atom_site_fract_y
_atom_site_fract_z
Pm1 Pm 0.0000 0.0000 0.2037
Th1 Th 0.0000 0.0000 0.3829
As1 As 0.0000 0.0000 0.2950
Se1 Se 0.0000 0.0000 0.1114
```

Calculated values
DOS(E_F) = 27.630 states/eV per cell

=====

Most stable structure - w); separation to the second - 167 meV per atom.

=====

w) DFT (PBE) results for a relaxed PmSmAs crystal.

```
data_PmSmAs
_cell_length_a 4.0626
_cell_length_b 4.0626
_cell_length_c 6.6800
_cell_angle_alpha 90.00
_cell_angle_beta 90.00
_cell_angle_gamma 120.00
_symmetry_space_group_name_H-M 'P 3 m 1'
_symmetry_Int_Tables_number 156
loop_
_symmetry_equiv_pos_as_xyz
'x,y,z'
'-y,x-y,z'
'-x+y,-x,z'
'-y,-x,z'
'-x+y,y,z'
'x,x-y,z'
loop_
_atom_site_label
_atom_site_type_symbol
_atom_site_fract_x
_atom_site_fract_y
_atom_site_fract_z
Pm1 Pm 0.0000 0.0000 0.0000
Sm1 Sm 0.3333 0.6667 0.4837
As1 As 0.6667 0.3333 0.7401
```

Calculated values
DOS(E_F) = 2.405 states/eV per cell

=====

x) DFT (PBE) results for a relaxed PmSmAs crystal.

```
data_PmSmAs
_cell_length_a 6.991
_cell_length_b 6.991
_cell_length_c 6.991
_cell_angle_alpha 90.00
_cell_angle_beta 90.00
_cell_angle_gamma 90.00
_symmetry_space_group_name_H-M 'F -4 3 m'
_symmetry_Int_Tables_number 216
_symmetry_space_group_name_Hall 'F -4 2 3'
loop_
_atom_site_label
_atom_site_type_symbol
_atom_site_fract_x
_atom_site_fract_y
_atom_site_fract_z
Pm1 Pm 0.000 0.000 0.000
Sm1 Sm 0.000 0.000 0.500
As1 As 0.250 0.250 0.250
```

Calculated values
DOS(E_F) = 8.468 states/eV per cell

=====

y) DFT (PBE) results for a relaxed PmSmAs crystal.

```
data_PmSmAs
_cell_length_a 3.807
_cell_length_b 3.807
_cell_length_c 11.465
_cell_angle_alpha 90.00
_cell_angle_beta 90.00
_cell_angle_gamma 90.00
_symmetry_space_group_name_H-M 'I 4 m m'
_symmetry_Int_Tables_number 107
_symmetry_space_group_name_Hall 'I 4 -2'
loop_
_atom_site_label
_atom_site_type_symbol
_atom_site_fract_x
_atom_site_fract_y
_atom_site_fract_z
Pm1 Pm 0.000 0.000 0.000
Sm1 Sm 0.000 0.000 0.720
As1 As 0.000 0.000 0.358
```

Calculated values
DOS(E_F) = 5.638 states/eV per cell

=====

Most stable structure - w); separation to the second - 31 meV per atom.

=====

w) DFT (PBE) results for a relaxed Pm2SnAs crystal.

```
data_Pm2SnAs
_cell_length_a 3.640
_cell_length_b 3.640
_cell_length_c 8.030
_cell_angle_alpha 90.00
_cell_angle_beta 90.00
_cell_angle_gamma 90.00
_symmetry_space_group_name_H-M 'P 4/m m m'
_symmetry_Int_Tables_number 123
_symmetry_space_group_name_Hall '-P 4 2'
loop_
_atom_site_label
_atom_site_type_symbol
_atom_site_fract_x
_atom_site_fract_y
_atom_site_fract_z
Pm1 Pm 0.000 0.000 0.219
Sn1 Sn 0.500 0.500 0.500
As1 As 0.500 0.500 0.000
```

Calculated values
DOS(E_F) = 2.303 states/eV per cell

=====

x) DFT (PBE) results for a relaxed Pm2SnAs crystal.

```
data_Pm2SnAs
_cell_length_a 4.1716
_cell_length_b 4.1716
_cell_length_c 23.3325
_cell_angle_alpha 90.00
_cell_angle_beta 90.00
_cell_angle_gamma 120.00
_symmetry_space_group_name_H-M 'R -3 m'
_symmetry_Int_Tables_number 166
_symmetry_space_group_name_Hall '-R 3 2"'
loop_
_atom_site_label
_atom_site_type_symbol
_atom_site_fract_x
_atom_site_fract_y
_atom_site_fract_z
Pm1 Pm 0.0000 0.0000 0.2403
Sn1 Sn 0.0000 0.0000 0.0000
As1 As 0.0000 0.0000 0.5000
```

Calculated values
DOS(E_F) = 3.309 states/eV per cell

=====

Most stable structure - x); separation to the second - 188 meV per atom.

=====

w) DFT (PBE) results for a relaxed Pm3SnAs crystal.

```
data_Pm3SnAs
_cell_length_a 5.507
_cell_length_b 5.507
_cell_length_c 5.507
_cell_angle_alpha 90.00
_cell_angle_beta 90.00
_cell_angle_gamma 90.00
_symmetry_space_group_name_H-M 'P m -3 m'
_symmetry_Int_Tables_number 221
_symmetry_space_group_name_Hall '-P 4 2 3'
loop_
_atom_site_label
_atom_site_type_symbol
_atom_site_fract_x
_atom_site_fract_y
_atom_site_fract_z
Pm1 Pm 0.000 0.000 0.500
Sn1 Sn 0.500 0.500 0.500
As1 As 0.000 0.000 0.000
```

Calculated values
DOS(E_F) = 3.576 states/eV per cell

=====

x) DFT (PBE) results for a relaxed Pm3SnAs crystal.

```
data_Pm3SnAs
_cell_length_a 8.609
_cell_length_b 4.404
_cell_length_c 15.688
_cell_angle_alpha 90.00
_cell_angle_beta 90.00
_cell_angle_gamma 90.00
_symmetry_space_group_name_H-M 'P n m a'
_symmetry_Int_Tables_number 62
loop_
_symmetry_equiv_pos_as_xyz
'x,y,z'
'-x,-y,-z'
'-x+1/2,-y,z+1/2'
'x+1/2,y,-z+1/2'
'x+1/2,-y+1/2,-z+1/2'
'-x+1/2,y+1/2,z+1/2'
'-x,y+1/2,-z'
'x,-y+1/2,z'
loop_
_atom_site_label
_atom_site_type_symbol
_atom_site_fract_x
_atom_site_fract_y
_atom_site_fract_z
Pm1 Pm 0.018 0.250 0.108
Pm2 Pm 0.149 0.250 0.532
Pm3 Pm 0.172 0.750 0.282
Sn1 Sn 0.106 0.750 0.686
As1 As 0.189 0.250 0.947
```

Calculated values
DOS(E_F) = 17.433 states/eV per cell

=====

Most stable structure - x); separation to the second - 329 meV per atom.